# Sc4Br

A relaxed structure of Sc4Br (PBE-GGA, Alexandria).

a b c (Å): 5.5066 5.5066 5.5066
angles (deg): 109.47 109.47 109.47
Closest atoms and distances in Å follow each position.
Positions (direct):
1 Sc 0.0000 0.0000 0.5000  2 Br 2.75
2 Sc 0.0000 0.5000 0.0000  2 Br 2.75
3 Sc 0.5000 0.0000 0.0000  2 Br 2.75
4 Sc 0.5000 0.5000 0.5000  2 Br 2.75
5 Br 0.0000 0.0000 0.0000  8 Sc 2.75

Output
Distance to the lowest polymorph of the same formula   1.99 eV per formula unit
DFT total energy   -25.4 eV/cell
Space-group type   Im-3m (229)